# Sr2Pb2Au

Sr2Pb2Au after structural relaxation (PBE, the Alexandria database).

Cell lengths 7.957, 7.957, 5.117 Å; angles 90.00, 90.00, 90.00 degrees
Positions (direct):
Sr (0.166, 0.334, 0.000)
Sr (0.334, 0.834, 0.000)
Sr (0.666, 0.166, 0.000)
Sr (0.834, 0.666, 0.000)
Pb (0.143, 0.643, 0.500)
Pb (0.357, 0.143, 0.500)
Pb (0.643, 0.857, 0.500)
Pb (0.857, 0.357, 0.500)
Au (0.000, 0.000, 0.500)
Au (0.500, 0.500, 0.500)

Properties
Calculated total energy = -3.27 eV/atom
Space group = P4/mbm
Spin magnetization = 0.000 μB per atom
Calculated formation energy = -0.46 eV per atom